## Er3InCu2 (PBE-GGA)

Data for a relaxed Er3InCu2 crystal.

a = 3.4447 Å, b = 3.4447 Å, c = 11.2203 Å
α = 90.00°, β = 90.00°, γ = 90.00°
Fractional coordinates of all 6 atoms:
Er1 0.0000 0.0000 0.0000
Er2 0.0000 0.0000 0.6934
Er3 0.0000 0.0000 0.3066
In1 0.5000 0.5000 0.5000
Cu1 0.5000 0.5000 0.8452
Cu2 0.5000 0.5000 0.1548

* DFT total energy: -4.4389 eV/atom
* formation energy: -0.336 eV/atom
* M_tot: 0.00 μB/f.u.
* calculated volume: 22.189 Å³ per atom

=====

## ErIn2Cu6 (PBE-GGA)

Data for a relaxed ErIn2Cu6 crystal.

a = 3.5058 Å, b = 7.4427 Å, c = 7.4427 Å
α = 55.39°, β = 76.38°, γ = 76.38°
Fractional coordinates of all 9 atoms:
Er1 0.0000 0.0000 0.0000
In1 0.8603 0.6397 0.6397
In2 0.1397 0.3603 0.3603
Cu1 0.6760 0.0052 0.6427
Cu2 0.3240 0.9948 0.3573
Cu3 0.3240 0.3573 0.9948
Cu4 0.5000 0.6769 0.3231
Cu5 0.5000 0.3231 0.6769
Cu6 0.6760 0.6427 0.0052

* DFT total energy: -3.8605 eV/atom
* formation energy: -0.014 eV/atom
* M_tot: 0.00 μB/f.u.
* calculated volume: 17.120 Å³ per atom

=====

## ErIn2Cu9 (PBE-GGA)

Data for a relaxed ErIn2Cu9 crystal.

a = 5.0504 Å, b = 5.0504 Å, c = 8.6154 Å
α = 72.96°, β = 72.96°, γ = 60.00°
Fractional coordinates of all 12 atoms:
Er1 0.0000 0.0000 0.0000
In1 0.8598 0.8598 0.4207
In2 0.1402 0.1402 0.5793
Cu1 0.6666 0.6666 0.0003
Cu2 0.3334 0.3334 0.9997
Cu3 0.5000 0.5000 0.5000
Cu4 0.4151 0.4151 0.2505
Cu5 0.9192 0.4151 0.2505
Cu6 0.4151 0.9192 0.2505
Cu7 0.5849 0.5849 0.7495
Cu8 0.5849 0.0808 0.7495
Cu9 0.0808 0.5849 0.7495

* DFT total energy: -4.0428 eV/atom
* formation energy: -0.134 eV/atom
* M_tot: 0.00 μB/f.u.
* calculated volume: 14.923 Å³ per atom

=====

## Er12InCu5 (PBE-GGA)

Data for a relaxed Er12InCu5 crystal.

a = 8.3572 Å, b = 8.3572 Å, c = 8.3572 Å
α = 106.15°, β = 111.85°, γ = 110.47°
Fractional coordinates of all 18 atoms:
Er1 0.5397 0.8194 0.7203
Er2 0.4603 0.1806 0.2797
Er3 0.9009 0.1806 0.7203
Er4 0.0991 0.8194 0.2797
Er5 0.6982 0.6786 0.3767
Er6 0.3018 0.3214 0.6233
Er7 0.3018 0.6786 0.9804
Er8 0.6982 0.3214 0.0196
Er9 0.8087 0.5786 0.7699
Er10 0.1913 0.4214 0.2301
Er11 0.1913 0.9612 0.7699
Er12 0.8087 0.0388 0.2301
In1 0.0000 0.5000 0.5000
Cu1 0.6436 0.6436 0.0000
Cu2 0.3564 0.3564 0.0000
Cu3 0.5000 0.1214 0.6214
Cu4 0.5000 0.8786 0.3786
Cu5 0.0000 0.0000 0.0000

* DFT total energy: -4.5480 eV/atom
* formation energy: -0.216 eV/atom
* M_tot: 0.00 μB/f.u.
* calculated volume: 24.896 Å³ per atom

=====

## ErInCu4 (PBE-GGA)

Data for a relaxed ErInCu4 crystal.

a = 5.1089 Å, b = 5.1091 Å, c = 5.1091 Å
α = 60.00°, β = 60.00°, γ = 60.00°
Fractional coordinates of all 6 atoms:
In1 0.2500 0.2500 0.2500
Cu1 0.1257 0.6248 0.6248
Cu2 0.6248 0.1257 0.6248
Cu3 0.6248 0.6248 0.6248
Cu4 0.6248 0.6248 0.1257
Er1 0.0000 0.0000 0.0000

* DFT total energy: -4.2365 eV/atom
* formation energy: -0.289 eV/atom
* M_tot: 0.00 μB/f.u.
* calculated volume: 15.716 Å³ per atom

=====

## Er12InCu6 (PBE-GGA)

Data for a relaxed Er12InCu6 crystal.

a = 8.4525 Å, b = 8.4525 Å, c = 8.4525 Å
α = 109.47°, β = 109.47°, γ = 109.47°
Fractional coordinates of all 19 atoms:
Er1 0.2967 0.1080 0.8113
Er2 0.2967 0.4854 0.1887
Er3 0.7033 0.5146 0.8113
Er4 0.7033 0.8920 0.1887
Er5 0.1080 0.8113 0.2967
Er6 0.4854 0.1887 0.2967
Er7 0.5146 0.8113 0.7033
Er8 0.8920 0.1887 0.7033
Er9 0.8113 0.2967 0.1080
Er10 0.1887 0.2967 0.4854
Er11 0.8113 0.7033 0.5146
Er12 0.1887 0.7033 0.8920
In1 0.0000 0.0000 0.0000
Cu1 0.3754 0.5000 0.8754
Cu2 0.6246 0.5000 0.1246
Cu3 0.5000 0.8754 0.3754
Cu4 0.5000 0.1246 0.6246
Cu5 0.8754 0.3754 0.5000
Cu6 0.1246 0.6246 0.5000

* DFT total energy: -4.5452 eV/atom
* formation energy: -0.226 eV/atom
* M_tot: 0.00 μB/f.u.
* calculated volume: 24.467 Å³ per atom

=====

## ErInCuIr (PBE-GGA)

Data for a relaxed ErInCuIr crystal.

a = 4.7060 Å, b = 4.7060 Å, c = 4.7060 Å
α = 60.00°, β = 60.00°, γ = 60.00°
Fractional coordinates of all 4 atoms:
Ir1 0.7500 0.7500 0.7500
In1 0.5000 0.5000 0.5000
Cu1 0.2500 0.2500 0.2500
Er1 0.0000 0.0000 0.0000

* DFT total energy: -5.4706 eV/atom
* formation energy: -0.406 eV/atom
* M_tot: 0.00 μB/f.u.
* calculated volume: 18.424 Å³ per atom

=====

## LiErInCu (PBE-GGA)

Data for a relaxed LiErInCu crystal.

a = 4.7010 Å, b = 4.7010 Å, c = 4.7010 Å
α = 60.00°, β = 60.00°, γ = 60.00°
Fractional coordinates of all 4 atoms:
In1 0.5000 0.5000 0.5000
Li1 0.7500 0.7500 0.7500
Cu1 0.2500 0.2500 0.2500
Er1 0.0000 0.0000 0.0000

* DFT total energy: -3.6843 eV/atom
* formation energy: -0.357 eV/atom
* M_tot: 0.00 μB/f.u.
* calculated volume: 18.365 Å³ per atom